1.
# LiZrSe3, relaxed, DFT PBE
data_LiZrSe3
_symmetry_space_group_name_H-M 'C 1 2/c 1'
_symmetry_Int_Tables_number 15
_cell_length_a 12.884
_cell_length_b 11.422
_cell_length_c 6.627
_cell_angle_alpha 90.00
_cell_angle_beta 100.34
_cell_angle_gamma 90.00
loop_
_symmetry_equiv_pos_as_xyz
'x,y,z'
'-x,-y,-z'
'-x,y,-z+1/2'
'x,-y,z+1/2'
'x+1/2,y+1/2,z'
'-x+1/2,-y+1/2,-z'
'-x+1/2,y+1/2,-z+1/2'
'x+1/2,-y+1/2,z+1/2'
loop_
_atom_site_label
_atom_site_type_symbol
_atom_site_fract_x
_atom_site_fract_y
_atom_site_fract_z
Li1 Li 0.000 0.093 0.250
Li2 Li 0.000 0.260 0.750
Zr1 Zr 0.250 0.084 0.008
Se1 Se 0.122 0.079 0.634
Se2 Se 0.129 0.256 0.126
Se3 Se 0.132 0.418 0.616
# ΔE to the lowest computed polymorph = 0.0 kJ per mole of atoms

---

2.
Entry from Alexandria via LeMat-Bulk: a geometry-optimized Li2ZrSe2 structure (PBE).

The structure in CIF format:
```
data_Li2ZrSe2
_symmetry_space_group_name_H-M 'P 4/m b m'
_symmetry_Int_Tables_number 127
_symmetry_space_group_name_Hall '-P 4 2ab'
_cell_length_a 7.234
_cell_length_b 7.234
_cell_length_c 3.686
_cell_angle_alpha 90.00
_cell_angle_beta 90.00
_cell_angle_gamma 90.00
loop_
_atom_site_label
_atom_site_type_symbol
_atom_site_fract_x
_atom_site_fract_y
_atom_site_fract_z
Li1 Li 0.142 0.358 0.000
Zr1 Zr 0.000 0.000 0.500
Se1 Se 0.173 0.673 0.500
```

---

3.
# LiZr2Se2, relaxed, DFT PBE
data_LiZr2Se2
_symmetry_space_group_name_H-M 'I 4/m m m'
_symmetry_Int_Tables_number 139
_symmetry_space_group_name_Hall '-I 4 2'
_cell_length_a 4.253
_cell_length_b 4.253
_cell_length_c 13.142
_cell_angle_alpha 90.00
_cell_angle_beta 90.00
_cell_angle_gamma 90.00
loop_
_atom_site_label
_atom_site_type_symbol
_atom_site_fract_x
_atom_site_fract_y
_atom_site_fract_z
Li1 Li 0.000 0.000 0.000
Zr1 Zr 0.000 0.500 0.250
Se1 Se 0.000 0.000 0.383
# ΔE to the lowest computed polymorph = 12.5 kJ per mole of atoms

---

| no. | size of the total moment (μB/f.u.) | final energy (eV/atom) |
| --- | --- | --- |
| 1 | 0.0 | -5.21 |
| 2 | 0.0 | -4.86 |
| 3 | 0.0 | -5.96 |